No. 1
# Tb6SmIn3

A relaxed structure of Tb6SmIn3 (PBE, Alexandria via LeMat-Bulk).

Unit cell a=5.1887 b=10.1636 c=11.2579 alpha=99.00 beta=90.00 gamma=90.00
Fractional positions:
Tb1 0.7500 0.5508 0.9052
In1 0.7500 0.6368 0.1928
In2 0.2500 0.7576 0.9698
Tb2 0.2500 0.0745 0.9095
In3 0.2500 0.3632 0.8072
Tb3 0.2500 0.1411 0.2199
Tb4 0.7500 0.9255 0.0905
Sm1 0.7500 0.0468 0.4051
Tb5 0.2500 0.6382 0.6865
Tb6 0.2500 0.4492 0.0948
Tb7 0.7500 0.7239 0.4828
Sm2 0.2500 0.9532 0.5949
In4 0.7500 0.2424 0.0302
Tb8 0.7500 0.8589 0.7801
Tb9 0.7500 0.1828 0.7226
Tb10 0.7500 0.3618 0.3135
In5 0.2500 0.5423 0.3888
Tb11 0.2500 0.2761 0.5172
Tb12 0.2500 0.8172 0.2774
In6 0.7500 0.4577 0.6112

Results
Its total magnetization is 0.000 μB/atom. The calculation puts the formation energy at -0.27 eV/atom. The calculation puts the theoretical density at 8.2 g/cm³. As for the distance to the lowest polymorph of the same formula: 0 meV/atom.

=====

No. 2
# Tb3SmIn

A relaxed structure of Tb3SmIn (PBE, Alexandria via LeMat-Bulk).

Unit cell a=4.8632 b=4.8536 c=12.8854 alpha=90.00 beta=79.12 gamma=90.00
Fractional positions:
In1 0.6706 0.7500 0.3071
Tb1 0.5739 0.2500 0.5005
Tb2 0.3732 0.2500 0.9020
Tb3 0.0744 0.7500 0.4995
In2 0.9777 0.2500 0.6929
Sm1 0.4731 0.7500 0.7022
Tb4 0.7722 0.2500 0.1039
Sm2 0.1753 0.2500 0.2978
Tb5 0.2752 0.7500 0.0980
Tb6 0.8761 0.7500 0.8961

Results
Its total magnetization is 0.000 μB/atom. The calculation puts the formation energy at -0.18 eV/atom. The calculation puts the theoretical density at 8.2 g/cm³. As for the distance to the lowest polymorph of the same formula: 0 meV/atom.

=====

No. 3
# Tb3Sm4In

A relaxed structure of Tb3Sm4In (PBE, Alexandria via LeMat-Bulk).

Unit cell a=6.2207 b=7.1453 c=11.3093 alpha=90.00 beta=90.00 gamma=90.00
Fractional positions:
Sm1 0.1711 0.8715 0.0000
Sm2 0.4899 0.8684 0.2679
Tb1 0.9716 0.6159 0.7553
Tb2 0.9716 0.6159 0.2447
Sm3 0.6711 0.1285 0.5000
Tb3 0.4716 0.3841 0.2553
Tb4 0.4716 0.3841 0.7447
Tb5 0.6449 0.6282 0.0000
Tb6 0.1449 0.3718 0.5000
Sm4 0.1262 0.8670 0.5000
In1 0.6501 0.6126 0.5000
Sm5 0.6262 0.1330 0.0000
Sm6 0.4899 0.8684 0.7321
Sm7 0.9899 0.1316 0.7679
Sm8 0.9899 0.1316 0.2321
In2 0.1501 0.3874 0.0000

Results
Its total magnetization is 0.000 μB/atom. The calculation puts the formation energy at -0.10 eV/atom. The calculation puts the theoretical density at 7.9 g/cm³. As for the distance to the lowest polymorph of the same formula: 9 meV/atom.